(1)
An optimized crystal structure of Sr2MgSnO, computed with GGA-PBE.

Values from the calculation:
The formation energy without anion corrections comes out at -1.30 eV/atom.

Cell and atoms, written as CIF:
```
data_Sr2MgSnO
_chemical_formula_sum 'Sr2 Mg1 Sn1 O1'
_symmetry_space_group_name_H-M 'P 4/m m m'
_symmetry_Int_Tables_number 123
_symmetry_space_group_name_Hall '-P 4 2'
_cell_length_a 5.2113
_cell_length_b 5.2113
_cell_length_c 4.5112
_cell_angle_alpha 90.00
_cell_angle_beta 90.00
_cell_angle_gamma 90.00
loop_
_atom_site_label
_atom_site_type_symbol
_atom_site_fract_x
_atom_site_fract_y
_atom_site_fract_z
Sr1 Sr 0.0000 0.5000 0.0000
Mg1 Mg 0.0000 0.0000 0.5000
Sn1 Sn 0.5000 0.5000 0.5000
O1 O 0.0000 0.0000 0.0000
```


(2)
An optimized crystal structure of Na3Tb2Hg4, computed with GGA-PBE.

Values from the calculation:
Its formation energy is -0.2581 eV/atom.

Cell and atoms, written as CIF:
```
data_Na3Tb2Hg4
_chemical_formula_sum 'Na6 Tb4 Hg8'
_symmetry_space_group_name_H-M 'C 1 2/m 1'
_symmetry_Int_Tables_number 12
_cell_length_a 8.9461
_cell_length_b 5.1582
_cell_length_c 10.1524
_cell_angle_alpha 90.00
_cell_angle_beta 90.18
_cell_angle_gamma 90.00
loop_
_symmetry_equiv_pos_as_xyz
'x,y,z'
'-x,-y,-z'
'-x,y,-z'
'x,-y,z'
'x+1/2,y+1/2,z'
'-x+1/2,-y+1/2,-z'
'-x+1/2,y+1/2,-z'
'x+1/2,-y+1/2,z'
loop_
_atom_site_label
_atom_site_type_symbol
_atom_site_fract_x
_atom_site_fract_y
_atom_site_fract_z
Na1 Na 0.0000 0.0000 0.0000
Na2 Na 0.1658 0.5000 0.5699
Tb1 Tb 0.1673 0.5000 0.1991
Hg1 Hg 0.0008 0.0000 0.3204
Hg2 Hg 0.1662 0.5000 0.8930
```


Copy entry 2 word for word.
An optimized crystal structure of Na3Tb2Hg4, computed with GGA-PBE.

Values from the calculation:
Its formation energy is -0.2581 eV/atom.

Cell and atoms, written as CIF:
```
data_Na3Tb2Hg4
_chemical_formula_sum 'Na6 Tb4 Hg8'
_symmetry_space_group_name_H-M 'C 1 2/m 1'
_symmetry_Int_Tables_number 12
_cell_length_a 8.9461
_cell_length_b 5.1582
_cell_length_c 10.1524
_cell_angle_alpha 90.00
_cell_angle_beta 90.18
_cell_angle_gamma 90.00
loop_
_symmetry_equiv_pos_as_xyz
'x,y,z'
'-x,-y,-z'
'-x,y,-z'
'x,-y,z'
'x+1/2,y+1/2,z'
'-x+1/2,-y+1/2,-z'
'-x+1/2,y+1/2,-z'
'x+1/2,-y+1/2,z'
loop_
_atom_site_label
_atom_site_type_symbol
_atom_site_fract_x
_atom_site_fract_y
_atom_site_fract_z
Na1 Na 0.0000 0.0000 0.0000
Na2 Na 0.1658 0.5000 0.5699
Tb1 Tb 0.1673 0.5000 0.1991
Hg1 Hg 0.0008 0.0000 0.3204
Hg2 Hg 0.1662 0.5000 0.8930
```